# 1
Computed, not measured: crystalline V7Mo2Ru3 at its relaxed geometry at the PBE level of DFT.

abc: 4.2270 20.5520 4.2155
angles: 90.00 90.00 90.00
Closest atoms and distances in Å follow each position.
Space group Cmmm (No. 65)
Inequivalent atoms, fractional coordinates:
V1 0.0000 0.0000 0.0000 (multiplicity 2)  8 V 2.57-2.61
V2 0.0000 0.0750 0.5000 (multiplicity 4)  2 Mo 2.57, 4 Ru 2.59-2.62, 2 V 2.61
V3 0.0000 0.2873 0.0000 (multiplicity 4)  2 Ru 2.50, 2 Mo 2.51, 2 V 2.61
V4 0.0000 0.4286 0.0000 (multiplicity 4)  4 Ru 2.57-2.63, 2 V 2.57, 2 Mo 2.62
Mo1 0.0000 0.1465 0.0000 (multiplicity 4)  6 V 2.51-2.62
Ru1 0.0000 0.3524 0.5000 (multiplicity 4)  6 V 2.50-2.63
Ru2 0.0000 0.5000 0.5000 (multiplicity 2)  8 V 2.57-2.62

Values from the calculation:
The value obtained for the formation energy is 0.129 eV per atom.

# 2
Computed, not measured: crystalline TiV2Mo6 at its relaxed geometry at the PBE level of DFT.

abc: 7.8194 7.9462 4.4734
angles: 90.00 90.00 90.00
Closest atoms and distances in Å follow each position.
Space group Pnnm (No. 58)
Inequivalent atoms, fractional coordinates:
Ti1 0.0000 0.0000 0.0000 (multiplicity 2)  8 Mo 2.65-2.71
V1 0.1619 0.2348 0.5000 (multiplicity 4)  10 Mo 2.65-2.92
Mo1 0.0033 0.6661 0.0000 (multiplicity 4)  4 Mo 2.64-2.68, 1 Ti 2.65, 3 V 2.67-2.70
Mo2 0.1655 0.5699 0.5000 (multiplicity 4)  6 Mo 2.63-2.91, 3 V 2.66-2.92, 1 Ti 2.67
Mo3 0.1692 0.9011 0.5000 (multiplicity 4)  4 Mo 2.63-2.91, 4 V 2.65-2.91, 2 Ti 2.71

Values from the calculation:
The value obtained for the energy above the most stable polymorph in this dataset is 147.9 meV per atom. The value obtained for the formation energy is 0.019 eV per atom.

# 3
Computed, not measured: crystalline Tl2PtF at its relaxed geometry at the PBE level of DFT.

abc: 5.8555 5.8555 13.2885
angles: 90.00 90.00 90.00
Closest atoms and distances in Å follow each position.
Space group I-42d (No. 122)
Inequivalent atoms, fractional coordinates:
Tl1 0.2389 0.2500 0.1250 (multiplicity 8)  2 F 2.62, 2 Pt 2.69
Pt1 0.0000 0.0000 0.5000 (multiplicity 4)  4 Tl 2.69
F1 0.0000 0.0000 0.0000 (multiplicity 4)  4 Tl 2.62

Values from the calculation:
The calculation puts the energy relative to the elements, uncorrected at -0.561 eV/atom. The value obtained for the energy above the most stable polymorph in this dataset is 41.7 meV per atom.

# 4
Computed, not measured: crystalline SrCrS2N at its relaxed geometry at the PBE level of DFT.

abc: 5.5418 5.5418 4.7478
angles: 90.00 90.00 90.00
Closest atoms and distances in Å follow each position.
Space group P4/mmm (No. 123)
Inequivalent atoms, fractional coordinates:
Sr1 0.0000 0.0000 0.0000 (multiplicity 1)  2 N 2.37
Cr1 0.5000 0.5000 0.5000 (multiplicity 1)  8 S 3.65, 4 N 3.92
S1 0.0000 0.5000 0.0000 (multiplicity 2)  2 Sr 2.77
N1 0.0000 0.0000 0.5000 (multiplicity 1)  2 Sr 2.37

Values from the calculation:
The calculation puts the energy relative to the elements, uncorrected at 1.051 eV/atom. The value obtained for the energy above the most stable polymorph in this dataset is 1826.5 meV per atom.

# 5
Computed, not measured: crystalline AlSI2Cl at its relaxed geometry at the PBE level of DFT.

abc: 5.7589 5.7589 4.7386
angles: 90.00 90.00 90.00
Closest atoms and distances in Å follow each position.
Space group P4/mmm (No. 123)
Inequivalent atoms, fractional coordinates:
Al1 0.0000 0.0000 0.0000 (multiplicity 1)  8 I 3.73, 4 Cl 4.07
S1 0.5000 0.5000 0.5000 (multiplicity 1)  2 Cl 2.37
I1 0.0000 0.5000 0.5000 (multiplicity 2)  2 S 2.88
Cl1 0.5000 0.5000 0.0000 (multiplicity 1)  2 S 2.37

Values from the calculation:
The calculation puts the energy relative to the elements, uncorrected at 0.202 eV/atom.

# 6
Computed, not measured: crystalline LiTbB4 at its relaxed geometry at the PBE level of DFT.

abc: 6.4839 6.4839 6.4839
angles: 90.00 90.00 90.00
Closest atoms and distances in Å follow each position.
Space group F-43m (No. 216)
Inequivalent atoms, fractional coordinates:
Li1 0.0000 0.0000 0.0000 (multiplicity 4)  12 B 2.77, 4 Tb 2.81
Tb1 0.2500 0.2500 0.2500 (multiplicity 4)  12 B 2.65, 4 Li 2.81
B1 0.0940 0.0940 0.5940 (multiplicity 16)  3 B 1.72

Values from the calculation:
The value obtained for the energy above the most stable polymorph in this dataset is 838.9 meV per atom. The value obtained for the formation energy is 0.447 eV per atom.

| no. | VASP energy (eV per atom) | M_tot (μB per cell) |
| --- | --- | --- |
| 1 | -9.3146 | 0.00 |
| 2 | -10.1048 | 0.00 |
| 3 | -3.7217 | 0.00 |
| 4 | -4.5257 | 6.01 |
| 5 | -2.3613 | 0.00 |
| 6 | -5.0953 | 0.00 |